The following is a DFT calculation (PBE) of crystalline LiV2Br6 at its relaxed geometry.

Computed properties:
Formation energy from raw total energies, eV/atom: -0.83
ΔE to the lowest computed polymorph, meV per atom: 148
Theoretical density, g/cm3: 3.4
Space-group type: C2/c, No. 15
Magnetic moment, μB/f.u.: 5.0
Electronic total energy, Ha/atom: -0.15395

Geometry as extended XYZ:
```
18
Lattice="-5.275 -2.027 4.206 2.948 -8.403 1.989 3.709 2.186 8.045" Properties=species:S:1:pos:R:3 pbc="T T T"
Li 2.306 0.502 8.423
Li -0.924 -8.746 5.816
V 3.672 -3.872 8.466
V 0.481 -1.506 4.730
V -2.290 -4.371 5.773
V 0.902 -6.738 9.510
Br 2.073 -5.578 7.676
Br 1.835 -3.211 3.569
Br -0.691 -2.666 6.563
Br -0.453 -5.032 10.671
Br -0.690 -8.212 8.459
Br -0.935 -6.184 4.944
Br 2.072 -0.031 5.781
Br 2.317 -2.059 9.296
Br 5.366 -4.943 9.842
Br -1.231 -0.679 3.215
Br -3.984 -3.300 4.398
Br 2.613 -7.564 11.025
```

=====

The following is a DFT calculation (PBE) of crystalline DyHfSc at its relaxed geometry.

Computed properties:
ΔE to the lowest computed polymorph, meV per atom: 51
Theoretical density, g/cm3: 8.4
Space-group type: Pmmn, No. 59
Magnetic moment, μB/f.u.: 0.0
Electronic total energy, Ha/atom: -0.25276

Geometry as extended XYZ:
```
6
Lattice="-1.928 -0.787 -4.061 2.922 -1.011 -1.191 0.794 -10.506 1.658" Properties=species:S:1:pos:R:3 pbc="T T T"
Dy -0.416 -9.061 -3.058
Dy 2.419 -7.336 -2.173
Hf 0.200 -3.194 -1.922
Hf 1.010 -2.698 -4.967
Sc 1.635 -10.847 -1.121
Sc 0.369 -5.550 -4.110
```

=====

The following is a DFT calculation (PBE) of crystalline Ac2LaHgIr at its relaxed geometry.

Computed properties:
Theoretical density, g/cm3: 9.2
Space-group type: P2_1/m, No. 11
Magnetic moment, μB/f.u.: 0.0
Electronic total energy, Ha/atom: -0.18316

Geometry as extended XYZ:
```
10
Lattice="4.398 0.000 0.000 0.000 9.063 0.738 0.000 -3.003 8.704" Properties=species:S:1:pos:R:3 pbc="T T T"
Ac 3.298 6.008 6.028
Ac 3.298 7.253 1.002
Ac 1.099 0.052 3.414
Ac 1.099 -1.193 8.440
La 1.099 2.734 6.450
La 3.298 3.327 2.992
Hg 1.099 5.721 3.289
Hg 3.298 0.339 6.152
Ir 1.099 5.112 7.811
Ir 3.298 0.949 1.631
```

=====

The following is a DFT calculation (PBE) of crystalline SmCu4Pt at its relaxed geometry.

Computed properties:
Theoretical density, g/cm3: 11.0
Space-group type: F-43m, No. 216
Magnetic moment, μB/f.u.: 0.0
Electronic total energy, Ha/atom: -0.17962

Geometry as extended XYZ:
```
6
Lattice="-2.705 0.770 4.176 -4.905 -1.132 0.067 -1.642 -3.923 2.695" Properties=species:S:1:pos:R:3 pbc="T T T"
Cu -4.964 -0.705 2.985
Cu -3.319 -2.112 4.310
Cu -5.792 -2.683 4.343
Cu -4.429 -3.071 2.238
Sm -2.313 -1.071 1.734
Pt 0.000 0.000 0.000
```

=====

The following is a DFT calculation (PBE) of crystalline LiPm2Br6 at its relaxed geometry.

Computed properties:
Formation energy from raw total energies, eV/atom: -1.65
ΔE to the lowest computed polymorph, meV per atom: 49
Theoretical density, g/cm3: 4.1
Space-group type: C2/m, No. 12
Magnetic moment, μB/f.u.: 0.0
Electronic total energy, Ha/atom: -0.14805

Geometry as extended XYZ:
```
9
Lattice="-1.678 -5.447 1.027 0.399 1.625 -7.061 8.030 -1.910 2.990" Properties=species:S:1:pos:R:3 pbc="T T T"
Li 4.015 -0.955 1.495
Pm 6.123 -5.125 -0.850
Pm 0.628 -0.607 -2.194
Br 5.034 -5.316 -3.644
Br -0.182 -3.295 -1.445
Br 6.933 -2.437 -1.599
Br 3.820 -4.194 0.329
Br 2.931 -1.539 -3.374
Br 1.717 -0.416 0.599
```

=====

The following is a DFT calculation (PBE) of crystalline Y2SiBr at its relaxed geometry.

Computed properties:
Formation energy from raw total energies, eV/atom: 0.09
ΔE to the lowest computed polymorph, meV per atom: 1131
Theoretical density, g/cm3: 4.9
Space-group type: F-43m, No. 216
Magnetic moment, μB/f.u.: 0.4
Electronic total energy, Ha/atom: -0.18064

Geometry as extended XYZ:
```
4
Lattice="-3.651 -2.108 2.940 0.742 -4.637 2.089 0.723 -0.450 5.068" Properties=species:S:1:pos:R:3 pbc="T T T"
Br -1.093 -3.597 5.048
Si -1.639 -5.396 7.573
Y 0.000 0.000 0.000
Y -0.546 -1.799 2.524
```

=====

The following is a DFT calculation (PBE) of crystalline Hf3BeIr at its relaxed geometry.

Computed properties:
ΔE to the lowest computed polymorph, meV per atom: 0
Theoretical density, g/cm3: 13.0
Space-group type: Pm-3m, No. 221
Magnetic moment, μB/f.u.: 0.0
Electronic total energy, Ha/atom: -0.30142

Geometry as extended XYZ:
```
5
Lattice="4.547 0.000 0.000 0.000 4.547 0.000 0.000 0.000 4.547" Properties=species:S:1:pos:R:3 pbc="T T T"
Be 0.000 0.000 0.000
Ir 2.273 2.273 2.273
Hf 0.000 2.273 0.000
Hf 0.000 0.000 2.273
Hf 2.273 0.000 0.000
```

=====

The following is a DFT calculation (PBE) of crystalline Cs2UNb6Cl15O3 at its relaxed geometry.

Computed properties:
Formation energy from raw total energies, eV/atom: -1.68
Theoretical density, g/cm3: 4.1
Space-group type: P-31c, No. 163
Magnetic moment, μB/f.u.: 2.9
Electronic total energy, Ha/atom: -0.21966

Geometry as extended XYZ:
```
54
Lattice="-5.879 -2.678 -6.611 7.234 -5.322 2.185 -9.983 -8.510 12.323" Properties=species:S:1:pos:R:3 pbc="T T T"
Cs -1.908 -3.901 -3.185
Cs -2.529 -9.037 5.909
Cs -6.719 -12.609 11.082
Cs -6.098 -7.473 1.988
U -8.995 -9.942 5.563
U 0.368 -6.568 2.334
Nb -11.551 -8.111 3.058
Nb -6.808 -12.751 3.695
Nb -6.688 -7.313 7.547
Nb 3.992 -5.983 3.974
Nb -1.494 -3.099 1.521
Nb 0.542 -8.972 -0.885
Nb 2.924 -8.400 4.840
Nb -1.819 -3.759 4.202
Nb -1.938 -9.198 0.350
Nb -12.619 -10.527 3.924
Nb -7.132 -13.412 6.376
Nb -9.169 -7.538 8.782
Cl -9.182 -7.319 3.856
Cl -7.839 -10.549 2.713
Cl -6.127 -8.687 5.386
Cl 2.678 -4.449 2.302
Cl -0.113 -4.638 -0.090
Cl 2.374 -7.347 0.054
Cl 0.555 -9.191 4.041
Cl -0.788 -5.961 5.184
Cl -2.500 -7.823 2.511
Cl -11.305 -12.061 5.596
Cl -8.514 -11.872 7.987
Cl -11.001 -9.163 7.843
Cl -3.454 -4.391 0.742
Cl -5.595 -5.366 -1.666
Cl -2.960 -7.304 -0.870
Cl -5.666 -9.206 8.768
Cl -5.173 -12.120 7.156
Cl -3.032 -11.144 9.563
Cl -2.087 -1.459 -0.273
Cl -5.239 -4.495 -4.923
Cl 0.041 -7.080 -2.431
Cl -4.427 -6.248 7.667
Cl -4.733 -11.378 3.877
Cl 0.014 -10.816 8.110
Cl -6.540 -15.052 8.171
Cl -3.388 -12.015 12.821
Cl -8.668 -9.431 10.328
Cl -4.200 -10.262 0.230
Cl -3.893 -5.132 4.021
Cl -8.641 -5.694 -0.213
O -0.872 -4.646 2.657
O -0.285 -8.109 0.741
O 2.260 -6.950 3.603
O -8.342 -8.401 7.156
O -10.887 -9.560 4.294
O -7.755 -11.864 5.240
```

=====

The following is a DFT calculation (PBE) of crystalline PrCd2Ag at its relaxed geometry.

Computed properties:
Theoretical density, g/cm3: 8.3
Space-group type: Pmmn, No. 59
Magnetic moment, μB/f.u.: 0.0
Electronic total energy, Ha/atom: -0.09639

Geometry as extended XYZ:
```
8
Lattice="-0.863 5.004 -0.853 -0.248 -0.901 -5.035 -7.117 -1.134 0.549" Properties=species:S:1:pos:R:3 pbc="T T T"
Pr -6.057 2.639 -1.706
Pr -2.171 0.331 -3.633
Cd -0.870 3.035 -4.630
Cd -7.358 -0.065 -0.709
Cd -4.376 2.476 -4.363
Cd -3.852 0.494 -0.976
Ag -2.495 3.218 -1.909
Ag -5.733 -0.249 -3.430
```

=====

The following is a DFT calculation (PBE) of crystalline SrMo2Pt at its relaxed geometry.

Computed properties:
ΔE to the lowest computed polymorph, meV per atom: 490
Theoretical density, g/cm3: 10.4
Space-group type: Cmmm, No. 65
Magnetic moment, μB/f.u.: 0.0
Electronic total energy, Ha/atom: -0.24424

Geometry as extended XYZ:
```
4
Lattice="-0.096 2.259 -5.226 3.915 -3.813 1.599 -1.643 -2.045 -0.854" Properties=species:S:1:pos:R:3 pbc="T T T"
Mo 0.000 0.000 0.000
Mo 1.910 -0.777 -1.814
Pt -0.869 0.107 -3.040
Sr 1.136 -2.929 0.373
```

=====

The following is a DFT calculation (PBE) of crystalline HfNbH3 at its relaxed geometry.

Computed properties:
ΔE to the lowest computed polymorph, meV per atom: 284
Theoretical density, g/cm3: 9.3
Space-group type: Pm-3m, No. 221
Magnetic moment, μB/f.u.: 0.0
Electronic total energy, Ha/atom: -0.21691

Geometry as extended XYZ:
```
5
Lattice="3.657 0.000 0.000 0.000 3.657 0.000 0.000 0.000 3.657" Properties=species:S:1:pos:R:3 pbc="T T T"
H 0.000 1.829 0.000
H 0.000 0.000 1.829
H 1.829 0.000 0.000
Nb 1.829 1.829 1.829
Hf 0.000 0.000 0.000
```

=====

The following is a DFT calculation (PBE) of crystalline UCoAs2 at its relaxed geometry.

Computed properties:
ΔE to the lowest computed polymorph, meV per atom: 19
Theoretical density, g/cm3: 10.2
Space-group type: Pnma, No. 62
Magnetic moment, μB/f.u.: 1.5
Electronic total energy, Ha/atom: -0.27486

Geometry as extended XYZ:
```
16
Lattice="-0.264 -0.271 4.085 6.969 -1.250 0.368 1.722 9.825 0.763" Properties=species:S:1:pos:R:3 pbc="T T T"
U 5.741 2.271 0.779
U 2.786 6.135 2.904
U 6.538 7.036 3.206
U 1.989 1.370 0.477
Co 2.353 8.372 0.964
Co 6.174 0.034 2.718
Co 3.101 3.011 2.717
Co 5.425 5.394 0.966
As 4.617 7.635 1.062
As 3.909 0.771 2.621
As 0.724 3.107 2.570
As 7.802 5.299 1.113
As 2.514 9.264 3.094
As 6.012 -0.858 0.589
As 3.307 4.214 0.750
As 5.219 4.192 2.932
```

=====

The following is a DFT calculation (PBE) of crystalline Tb3Co2 at its relaxed geometry.

Computed properties:
ΔE to the lowest computed polymorph, meV per atom: 11
Theoretical density, g/cm3: 8.8
Space-group type: Cmmm, No. 65
Magnetic moment, μB/f.u.: 0.4
Electronic total energy, Ha/atom: -0.21122

Geometry as extended XYZ:
```
5
Lattice="-1.830 2.656 2.229 -2.195 1.070 -3.077 -3.911 -5.527 3.375" Properties=species:S:1:pos:R:3 pbc="T T T"
Tb -4.596 -2.953 -0.256
Tb -2.012 1.863 -0.424
Tb -1.510 -1.505 0.554
Co -4.043 -0.161 0.320
Co -3.893 -1.641 2.206
```

=====

The following is a DFT calculation (PBE) of crystalline Cs3MnMo at its relaxed geometry.

Computed properties:
Theoretical density, g/cm3: 3.2
Space-group type: Pm-3m, No. 221
Magnetic moment, μB/f.u.: 8.1
Electronic total energy, Ha/atom: -0.10326

Geometry as extended XYZ:
```
5
Lattice="6.583 0.000 0.000 0.000 6.583 0.000 0.000 0.000 6.583" Properties=species:S:1:pos:R:3 pbc="T T T"
Cs 0.000 3.291 0.000
Cs 0.000 0.000 3.291
Cs 3.291 0.000 0.000
Mo 0.000 0.000 0.000
Mn 3.291 3.291 3.291
```

=====

The following is a DFT calculation (PBE) of crystalline TlCr3Cl8 at its relaxed geometry.

Computed properties:
Formation energy from raw total energies, eV/atom: -0.94
Theoretical density, g/cm3: 3.3
Space-group type: C2/m, No. 12
Magnetic moment, μB/f.u.: 11.0
Electronic total energy, Ha/atom: -0.17528

Geometry as extended XYZ:
```
12
Lattice="8.471 0.000 0.000 -4.235 5.504 -4.462 0.000 -1.058 7.790" Properties=species:S:1:pos:R:3 pbc="T T T"
Tl 0.000 0.000 0.000
Cr 4.235 0.000 0.000
Cr 2.118 2.752 -2.231
Cr -2.118 2.752 -2.231
Cl 0.000 2.183 2.832
Cl 4.235 2.263 0.496
Cl 2.548 -0.600 6.080
Cl 5.923 -0.600 6.080
Cl 4.235 1.669 4.475
Cl 0.000 2.777 -1.147
Cl -1.687 5.046 -2.751
Cl 1.687 5.046 -2.751
```

=====

The following is a DFT calculation (PBE) of crystalline Cd12Hg3F5 at its relaxed geometry.

Computed properties:
Formation energy from raw total energies, eV/atom: -0.61
Theoretical density, g/cm3: 7.2
Space-group type: Ia-3d, No. 230
Magnetic moment, μB/f.u.: 0.0
Electronic total energy, Ha/atom: -0.06134

Geometry as extended XYZ:
```
80
Lattice="-9.575 1.603 9.376 -1.927 -11.701 -6.444 12.128 -0.070 5.921" Properties=species:S:1:pos:R:3 pbc="T T T"
Hg -6.388 -3.195 5.356
Hg -8.307 -7.382 4.111
Hg 2.544 -8.218 2.384
Hg 1.913 -1.088 3.759
Hg -5.587 -0.078 8.879
Hg -1.763 -6.729 0.969
Hg 2.389 -3.438 7.884
Hg 6.213 -10.090 -0.026
Hg -1.287 -9.080 5.094
Hg -1.918 -1.950 6.469
Hg 8.933 -2.786 4.742
Hg 7.014 -6.973 3.497
F 1.112 -4.205 0.236
F -0.964 -5.850 -3.222
F 0.000 0.000 0.000
F -2.556 -2.333 2.645
F 1.277 0.767 7.648
F -5.751 -5.049 1.466
F 1.906 -8.601 -1.441
F 3.190 -0.322 11.407
F -3.838 -6.137 5.225
F 5.264 -0.914 7.151
F -4.639 -9.254 1.702
F 0.313 -5.084 4.426
F -4.787 0.801 4.688
F 6.064 -0.035 2.960
F 4.464 -4.031 3.628
F -2.564 -9.846 -2.554
F 5.100 -5.885 -0.262
F -1.280 -1.566 10.293
F 3.182 -7.835 6.208
F -0.486 -5.963 8.617
Cd -6.593 -0.353 6.158
Cd 0.868 -5.863 2.010
Cd -6.452 -2.837 8.247
Cd -4.066 -1.684 4.451
Cd 1.152 -7.499 4.894
Cd -8.174 -5.323 6.233
Cd 0.354 -8.661 0.443
Cd -1.014 -10.528 -4.312
Cd 0.733 -10.304 3.312
Cd -5.892 -5.758 3.962
Cd -3.863 -4.116 6.594
Cd -9.144 -9.386 2.101
Cd 3.978 -8.229 -0.205
Cd -3.276 -4.267 1.340
Cd 1.890 -10.589 -2.857
Cd 2.916 -0.883 6.487
Cd 1.447 -1.912 1.003
Cd -4.642 -7.164 0.440
Cd -6.235 -9.352 3.545
Cd -0.989 -4.605 -0.941
Cd 4.085 -10.653 1.953
Cd -1.831 -6.442 3.868
Cd -3.764 -8.232 6.475
Cd 2.925 -2.620 10.629
Cd 2.457 -3.726 4.985
Cd 4.390 -1.935 2.378
Cd -2.299 -7.548 -1.776
Cd 6.861 -0.816 5.307
Cd -3.459 0.486 6.900
Cd 1.615 -5.563 9.794
Cd 5.268 -3.004 8.413
Cd -2.290 -9.285 2.365
Cd -0.821 -8.256 7.850
Cd -1.264 0.421 11.710
Cd -3.352 -1.939 9.058
Cd 9.770 -0.781 6.752
Cd 3.902 -5.901 7.512
Cd -0.107 0.136 5.541
Cd 6.518 -4.410 4.891
Cd 4.489 -6.051 2.259
Cd 1.640 0.360 13.165
Cd 0.272 -1.506 8.410
Cd 4.692 -8.483 4.402
Cd 8.800 -4.844 2.620
Cd -0.526 -2.669 3.958
Cd 7.078 -7.331 0.606
Cd -0.242 -4.304 6.843
Cd 7.219 -9.814 2.695
```

=====

The following is a DFT calculation (PBE) of crystalline K2InP at its relaxed geometry.

Computed properties:
ΔE to the lowest computed polymorph, meV per atom: 461
Theoretical density, g/cm3: 2.9
Space-group type: C2/m, No. 12
Magnetic moment, μB/f.u.: 0.0
Electronic total energy, Ha/atom: -0.08796

Geometry as extended XYZ:
```
4
Lattice="5.626 -0.041 0.043 4.632 3.193 0.043 0.745 0.229 7.018" Properties=species:S:1:pos:R:3 pbc="T T T"
In 2.751 0.845 1.776
K 0.856 0.263 6.743
K 5.390 1.657 3.827
P 8.252 2.536 5.328
```

=====

The following is a DFT calculation (PBE) of crystalline Li7NdAg5 at its relaxed geometry.

Computed properties:
Theoretical density, g/cm3: 5.0
Space-group type: Imm2, No. 44
Magnetic moment, μB/f.u.: 0.0
Electronic total energy, Ha/atom: -0.09718

Geometry as extended XYZ:
```
13
Lattice="-4.746 0.719 2.907 0.840 -1.067 7.052 -1.079 6.821 1.969" Properties=species:S:1:pos:R:3 pbc="T T T"
Li -3.238 2.403 4.952
Li -1.866 3.936 6.814
Li -5.076 4.830 6.768
Li -4.514 2.518 8.258
Li -1.383 1.465 2.796
Li -1.957 1.001 7.391
Li -3.040 5.458 4.520
Nd -0.340 5.641 8.884
Ag -2.881 3.712 2.481
Ag -0.527 3.355 1.040
Ag -1.953 -0.105 4.941
Ag 0.401 -0.462 3.499
Ag -3.535 5.081 9.222
```

=====

The following is a DFT calculation (PBE) of crystalline TmGe2Rh5 at its relaxed geometry.

Computed properties:
Theoretical density, g/cm3: 10.4
Space-group type: Immm, No. 71
Magnetic moment, μB/f.u.: 0.0
Electronic total energy, Ha/atom: -0.25245

Geometry as extended XYZ:
```
8
Lattice="-1.361 -2.393 -2.614 -0.513 -5.733 2.759 -5.934 -1.559 1.761" Properties=species:S:1:pos:R:3 pbc="T T T"
Tm 0.000 0.000 0.000
Ge -5.820 -7.228 1.377
Ge -1.989 -2.457 0.528
Rh -3.224 -3.646 2.260
Rh -2.104 -5.007 0.165
Rh -5.705 -4.678 1.740
Rh -3.514 -6.365 2.144
Rh -4.295 -3.320 -0.238
```